No. 1
Computed, not measured: a relaxed structure of TaBe2Re at the PBE-GGA level of DFT.

Properties
Calculated volume, A^3/atom: 12.52
DFT formation energy, eV per atom: 0.040
Energy above the most stable polymorph in this dataset, eV per formula unit: 1.69
Total energy, eV/atom: -7.90

a b c (Å): 3.8701 3.8701 3.3425
angles (deg): 90.00 90.00 90.00
With the nearest neighbours (Å) after each atom.
Space group P4/mmm (No. 123)
Symmetry-distinct sites (fractional):
Ta 0.0000 0.0000 0.0000 (multiplicity 1)  8 Be 2.56, 4 Re 2.74
Be 0.0000 0.5000 0.5000 (multiplicity 2)  4 Re 2.56, 4 Ta 2.56, 4 Be 2.74
Re 0.5000 0.5000 0.0000 (multiplicity 1)  8 Be 2.56, 4 Ta 2.74

No. 2
Computed, not measured: a relaxed structure of Dy2AgHg4 at the PBE-GGA level of DFT.

Properties
Calculated volume, A^3/atom: 24.31
DFT formation energy, eV per atom: -0.280
Total energy, eV/atom: -2.17

a b c (Å): 5.2057 5.2057 21.7520
angles (deg): 90.00 90.00 120.00
With the nearest neighbours (Å) after each atom.
Space group R-3m (No. 166, hexagonal axes)
Symmetry-distinct sites (fractional):
Dy 0.0000 0.0000 0.2264 (multiplicity 6)  8 Hg 3.05-3.39, 3 Ag 3.27
Ag 0.0000 0.0000 0.5000 (multiplicity 3)  2 Hg 2.87
Hg 0.0000 0.0000 0.0828 (multiplicity 6)  4 Dy 3.05-3.12, 3 Hg 3.18
Hg 0.0000 0.0000 0.3680 (multiplicity 6)  1 Ag 2.87, 1 Dy 3.08, 3 Hg 3.18

No. 3
Computed, not measured: a relaxed structure of BeAgW2 at the PBE-GGA level of DFT.

Properties
Calculated volume, A^3/atom: 15.09
DFT formation energy, eV per atom: 0.560
Total energy, eV/atom: -7.56

a b c (Å): 2.7648 2.7648 27.3462
angles (deg): 90.00 90.00 120.00
With the nearest neighbours (Å) after each atom.
Space group R-3m (No. 166, hexagonal axes)
Symmetry-distinct sites (fractional):
Be 0.0000 0.0000 0.0000 (multiplicity 3)  6 W 2.61, 6 Be 2.76
Ag 0.0000 0.0000 0.5000 (multiplicity 3)  6 Ag 2.76, 6 W 2.96
W 0.0000 0.0000 0.2577 (multiplicity 6)  3 Be 2.61, 6 W 2.76

No. 4
Computed, not measured: a relaxed structure of CePrNd6 at the PBE-GGA level of DFT.

Properties
Calculated volume, A^3/atom: 34.95
DFT formation energy, eV per atom: 0.051
Energy above the most stable polymorph in this dataset, eV per formula unit: 0.04
Total energy, eV/atom: -4.86

a b c (Å): 7.3546 10.3781 8.1919
angles (deg): 90.00 116.57 90.00
With the nearest neighbours (Å) after each atom.
Space group C2/m (No. 12)
Symmetry-distinct sites (fractional):
Ce 0.0000 0.0000 0.0000 (multiplicity 2)  10 Nd 3.62-3.66, 2 Pr 3.68
Pr 0.0000 0.5000 0.0000 (multiplicity 2)  10 Nd 3.65-3.70, 2 Ce 3.68
Nd 0.1269 0.2500 0.7537 (multiplicity 8)  8 Nd 3.61-3.72, 2 Pr 3.65-3.66, 2 Ce 3.65-3.66
Nd 0.2473 0.0000 0.4944 (multiplicity 4)  1 Ce 3.62, 10 Nd 3.66-3.71, 1 Pr 3.70

No. 5
Computed, not measured: a relaxed structure of Ac2CdAs3Rh4 at the PBE-GGA level of DFT.

Properties
Calculated volume, A^3/atom: 20.26
DFT formation energy, eV per atom: -0.799
Total energy, eV/atom: -6.05

a b c (Å): 4.2640 4.2640 11.1420
angles (deg): 90.00 90.00 90.00
With the nearest neighbours (Å) after each atom.
Space group P-4m2 (No. 115)
Symmetry-distinct sites (fractional):
Ac 0.0000 0.5000 0.2501 (multiplicity 2)  8 Rh 3.19-3.51, 6 As 3.32-3.51, 2 Cd 3.51
Cd 0.0000 0.0000 0.5000 (multiplicity 1)  4 Rh 2.76, 4 As 3.02
As 0.0000 0.5000 0.8756 (multiplicity 2)  5 Rh 2.44-2.54
As 0.5000 0.5000 0.5000 (multiplicity 1)  4 Rh 2.76, 4 Cd 3.02
Rh 0.0000 0.0000 0.0000 (multiplicity 1)  4 As 2.54
Rh 0.0000 0.5000 0.6569 (multiplicity 2)  1 As 2.44
Rh 0.5000 0.5000 0.0000 (multiplicity 1)  4 As 2.54

No. 6
Computed, not measured: a relaxed structure of CsMgP2Cl at the PBE-GGA level of DFT.

Properties
Energy relative to the elements, uncorrected, eV/atom: 1.13
Calculated volume, A^3/atom: 42.25
Energy above the most stable polymorph in this dataset, eV per formula unit: 6.43
Total energy, eV/atom: -1.90

a b c (Å): 5.8847 5.8847 6.1008
angles (deg): 90.00 90.00 90.00
With the nearest neighbours (Å) after each atom.
Space group P4/mmm (No. 123)
Symmetry-distinct sites (fractional):
Cs 0.0000 0.0000 0.0000 (multiplicity 1)  4 P 2.94, 2 Cl 3.05
Mg 0.5000 0.5000 0.5000 (multiplicity 1)  4 Cl 4.16, 8 P 4.24
P 0.0000 0.5000 0.0000 (multiplicity 2)  2 Cs 2.94
Cl 0.0000 0.0000 0.5000 (multiplicity 1)  2 Cs 3.05

No. 7
Computed, not measured: a relaxed structure of SrHgPd3 at the PBE-GGA level of DFT.

Properties
Calculated volume, A^3/atom: 28.43
DFT formation energy, eV per atom: 0.798
Energy above the most stable polymorph in this dataset, eV per formula unit: 6.04
Total energy, eV/atom: -2.71

a b c (Å): 5.2191 5.2191 5.2191
angles (deg): 90.00 90.00 90.00
With the nearest neighbours (Å) after each atom.
Space group Pm-3m (No. 221)
Symmetry-distinct sites (fractional):
Sr 0.0000 0.0000 0.0000 (multiplicity 1)  6 Pd 2.61
Hg 0.5000 0.5000 0.5000 (multiplicity 1)  12 Pd 3.69
Pd 0.0000 0.0000 0.5000 (multiplicity 3)  2 Sr 2.61

No. 8
Computed, not measured: a relaxed structure of PmPdPt4 at the PBE-GGA level of DFT.

Properties
Calculated volume, A^3/atom: 18.17
DFT formation energy, eV per atom: -0.679
Total energy, eV/atom: -6.36

a b c (Å): 7.5833 7.5833 7.5833
angles (deg): 90.00 90.00 90.00
With the nearest neighbours (Å) after each atom.
Space group F-43m (No. 216)
Symmetry-distinct sites (fractional):
Pm 0.0000 0.0000 0.0000 (multiplicity 4)  12 Pt 3.14, 4 Pd 3.28
Pd 0.2500 0.2500 0.7500 (multiplicity 4)  12 Pt 3.14, 4 Pm 3.28
Pt 0.1246 0.1246 0.3754 (multiplicity 16)  6 Pt 2.67-2.69

No. 9
Computed, not measured: a relaxed structure of CdOsCl6 at the PBE-GGA level of DFT.

Properties
Energy relative to the elements, uncorrected, eV/atom: -0.62
Calculated volume, A^3/atom: 33.35
Energy above the most stable polymorph in this dataset, eV per formula unit: 0.00
Total energy, eV/atom: -3.52

a b c (Å): 8.0742 10.6311 6.7000
angles (deg): 90.00 111.90 90.00
With the nearest neighbours (Å) after each atom.
Space group C2/m (No. 12)
Symmetry-distinct sites (fractional):
Cd 0.0000 0.0000 0.0000 (multiplicity 2)  6 Cl 2.69
Os 0.0000 0.0000 0.5000 (multiplicity 2)  6 Cl 2.35
Cl 0.1247 0.1527 0.7687 (multiplicity 8)  1 Os 2.35
Cl 0.2501 0.0000 0.4008 (multiplicity 4)  1 Os 2.35

No. 10
Computed, not measured: a relaxed structure of V2GaReB at the PBE-GGA level of DFT.

Properties
Calculated volume, A^3/atom: 19.91
DFT formation energy, eV per atom: 1.828
Total energy, eV/atom: -6.25

a b c (Å): 4.5665 4.5665 4.7750
angles (deg): 90.00 90.00 90.00
With the nearest neighbours (Å) after each atom.
Space group P4/mmm (No. 123)
Symmetry-distinct sites (fractional):
V 0.0000 0.5000 0.0000 (multiplicity 2)  2 Re 2.28
Ga 0.0000 0.0000 0.5000 (multiplicity 1)  2 Re 2.39
Re 0.0000 0.0000 0.0000 (multiplicity 1)  4 V 2.28, 2 Ga 2.39
B 0.5000 0.5000 0.5000 (multiplicity 1)  4 Ga 3.23, 8 V 3.30

No. 11
Computed, not measured: a relaxed structure of SrP2Au2S7 at the PBE-GGA level of DFT.

Properties
Energy relative to the elements, uncorrected, eV/atom: -0.32
Calculated volume, A^3/atom: 28.98
Total energy, eV/atom: -4.31

a b c (Å): 6.4283 6.4283 29.1492
angles (deg): 90.00 90.00 120.00
With the nearest neighbours (Å) after each atom.
Space group R32 (No. 155, hexagonal axes)
Symmetry-distinct sites (fractional):
Sr 0.0000 0.0000 0.0000 (multiplicity 3)  6 S 3.02
P 0.0000 0.0000 0.4265 (multiplicity 6)  4 S 2.05-2.14
Au 0.0000 0.0000 0.2567 (multiplicity 6)  3 S 2.40
S 0.0000 0.0000 0.5000 (multiplicity 3)  2 P 2.14
S 0.0079 0.3778 0.2580 (multiplicity 18)  1 P 2.05

No. 12
Computed, not measured: a relaxed structure of V3NiPt at the PBE-GGA level of DFT.

Properties
Calculated volume, A^3/atom: 15.72
DFT formation energy, eV per atom: 0.691
Energy above the most stable polymorph in this dataset, eV per formula unit: 0.00
Total energy, eV/atom: -7.14

a b c (Å): 4.2838 4.2838 4.2838
angles (deg): 90.00 90.00 90.00
With the nearest neighbours (Å) after each atom.
Space group Pm-3m (No. 221)
Symmetry-distinct sites (fractional):
V 0.0000 0.0000 0.5000 (multiplicity 3)  2 Ni 2.14
Ni 0.0000 0.0000 0.0000 (multiplicity 1)  6 V 2.14
Pt 0.5000 0.5000 0.5000 (multiplicity 1)  12 V 3.03